1.
This record from the Alexandria database describes crystalline YMg at its relaxed geometry. The functional is PBE.

Calculated values
ΔE_f, meV per atom: 267
Final energy, eV for the cell shown: -30.098
Space-group type: P6_3/mmc (194)

a = 5.498 Å, b = 5.498 Å, c = 8.980 Å
α = 90.00°, β = 90.00°, γ = 120.00°
Atoms (fractional coordinates):
Y (0.000, 0.000, 0.250)
Y (0.000, 0.000, 0.750)
Y (0.333, 0.667, 0.250)
Y (0.667, 0.333, 0.750)
Mg (0.333, 0.667, 0.593)
Mg (0.333, 0.667, 0.907)
Mg (0.667, 0.333, 0.093)
Mg (0.667, 0.333, 0.407)

2.
This record from the Alexandria database describes crystalline Y2Mg5 at its relaxed geometry. The functional is PBE.

Calculated values
ΔE_f, meV per atom: -18
Final energy, eV for the cell shown: -42.055
Space-group type: Ibam (72)

a = 8.677 Å, b = 8.677 Å, c = 8.677 Å
α = 121.82°, β = 74.84°, γ = 137.25°
Atoms (fractional coordinates):
Y (0.087, 0.157, 0.245)
Y (0.413, 0.657, 0.070)
Y (0.587, 0.343, 0.930)
Y (0.913, 0.843, 0.755)
Mg (0.029, 0.750, 0.279)
Mg (0.145, 0.772, 0.917)
Mg (0.250, 0.750, 0.500)
Mg (0.355, 0.272, 0.626)
Mg (0.471, 0.750, 0.721)
Mg (0.529, 0.250, 0.279)
Mg (0.645, 0.728, 0.374)
Mg (0.750, 0.250, 0.500)
Mg (0.855, 0.228, 0.083)
Mg (0.971, 0.250, 0.721)